(1)
Here is crystalline BaSrB6C6 at its relaxed geometry from Alexandria. Energies are from PBE.

Unit cell a=4.9634 b=4.9634 c=4.9634 alpha=90.00 beta=90.00 gamma=90.00
Positions (direct):
Ba 0.0000 0.0000 0.0000
Sr 0.5000 0.5000 0.5000
B 0.0000 0.5000 0.2534
B 0.0000 0.5000 0.7466
B 0.2534 0.0000 0.5000
B 0.5000 0.2534 0.0000
B 0.5000 0.7466 0.0000
B 0.7466 0.0000 0.5000
C 0.0000 0.2538 0.5000
C 0.0000 0.7462 0.5000
C 0.2538 0.5000 0.0000
C 0.5000 0.0000 0.2538
C 0.5000 0.0000 0.7462
C 0.7462 0.5000 0.0000

Results
- symmetry = Pm-3
- ΔE_f (eV per atom) = 0.227

***

(2)
Here is crystalline MnFe5N4 at its relaxed geometry from Alexandria. Energies are from PBE.

Unit cell a=6.0465 b=6.8263 c=4.4839 alpha=90.00 beta=90.00 gamma=90.00
Positions (direct):
Mn 0.2500 0.2500 0.2250
Mn 0.7500 0.7500 0.7750
Fe 0.0350 0.0671 0.7478
Fe 0.0350 0.4329 0.7478
Fe 0.2500 0.7500 0.6572
Fe 0.4650 0.0671 0.7478
Fe 0.4650 0.4329 0.7478
Fe 0.5350 0.5671 0.2522
Fe 0.5350 0.9329 0.2522
Fe 0.7500 0.2500 0.3428
Fe 0.9650 0.5671 0.2522
Fe 0.9650 0.9329 0.2522
N 0.0332 0.7500 0.9564
N 0.2500 0.5085 0.4363
N 0.2500 0.9914 0.4363
N 0.4668 0.7500 0.9564
N 0.5332 0.2500 0.0436
N 0.7500 0.0086 0.5637
N 0.7500 0.4914 0.5637
N 0.9668 0.2500 0.0436

Results
- symmetry = Pmmn
- formation energy from raw total energies (eV per formula unit) = 0.0

***

(3)
Here is crystalline Dy4Ho9Al11 at its relaxed geometry from Alexandria. Energies are from PBE.

Unit cell a=13.5303 b=13.5303 c=3.3467 alpha=90.00 beta=90.00 gamma=111.14
Positions (direct):
Dy 0.0941 0.2594 0.0000
Dy 0.2594 0.0941 0.0000
Dy 0.7406 0.9059 0.0000
Dy 0.9059 0.7406 0.0000
Ho 0.0000 0.0000 0.0000
Ho 0.1122 0.6637 0.0000
Ho 0.2962 0.4891 0.0000
Ho 0.3363 0.8878 0.0000
Ho 0.4891 0.2962 0.0000
Ho 0.5109 0.7038 0.0000
Ho 0.6637 0.1122 0.0000
Ho 0.7038 0.5109 0.0000
Ho 0.8878 0.3363 0.0000
Al 0.0881 0.4611 0.5000
Al 0.1209 0.8791 0.5000
Al 0.3013 0.3013 0.5000
Al 0.3118 0.6882 0.5000
Al 0.4611 0.0881 0.5000
Al 0.5000 0.5000 0.5000
Al 0.5389 0.9119 0.5000
Al 0.6882 0.3118 0.5000
Al 0.6987 0.6987 0.5000
Al 0.8791 0.1209 0.5000
Al 0.9119 0.5389 0.5000

Results
- symmetry = Cmmm
- ΔE_f (eV per atom) = -0.327

***

(4)
Here is crystalline Ca3Ta at its relaxed geometry from Alexandria. Energies are from PBE.

Unit cell a=6.1516 b=6.1516 c=6.2448 alpha=100.79 beta=100.79 gamma=31.66
Positions (direct):
Ca 0.0000 0.0000 0.0000
Ca 0.2312 0.2312 0.7253
Ca 0.7688 0.7688 0.2747
Ta 0.5000 0.5000 0.5000

Results
- symmetry = C2/m
- excess energy over the best structure of this formula in the dataset (meV per atom) = 116.9
- ΔE_f (eV per atom) = 0.674

***

(5)
Here is crystalline NdTlTc2O8 at its relaxed geometry from Alexandria. Energies are from PBE.

Unit cell a=6.1212 b=6.1212 c=7.8549 alpha=90.00 beta=90.00 gamma=120.00
Positions (direct):
Nd 0.0000 0.0000 0.0000
Tl 0.0000 0.0000 0.5000
Tc 0.3333 0.6667 0.2648
Tc 0.6667 0.3333 0.7352
O 0.1726 0.3473 0.1867
O 0.1748 0.8274 0.1867
O 0.3333 0.6667 0.4868
O 0.3473 0.1748 0.8133
O 0.6527 0.8252 0.1867
O 0.6667 0.3333 0.5132
O 0.8252 0.1726 0.8133
O 0.8274 0.6527 0.8133

Results
- symmetry = P-3
- formation energy from raw total energies (eV per formula unit) = -20.7

***

(6)
Here is crystalline KGaTcH6 at its relaxed geometry from Alexandria. Energies are from PBE.

Unit cell a=4.5484 b=4.6592 c=5.6002 alpha=86.51 beta=89.95 gamma=60.80
Positions (direct):
K 0.0000 0.0000 0.0000
Ga 0.3001 0.4003 0.4825
Tc 0.6643 0.6720 0.5097
H 0.4892 0.0212 0.3002
H 0.4976 0.0046 0.6928
H 0.5096 0.5502 0.7423
H 0.7299 0.5429 0.2284
H 0.8684 0.2638 0.5202
H 0.9400 0.5508 0.7424

Results
- symmetry = P1

***

Let's list DFT total energy in order: -0.252 -0.312 -0.166 -0.139 -0.270 -0.145 Ha/atom.